PBE Ag2BiPb2, optimized geometry; DFT formation energy = 70 meV/atom; magnetization = 0.0 Bohr magnetons per cell; energy above the most stable polymorph in this dataset = 0 meV/atom; D(E_F) = 5.1 states/eV/cell; V = 26.583 Å³ per atom
1.0
7.769 0.000 0.000
0.000 7.769 0.000
0.000 0.000 4.405
Ag Bi Pb
4 2 4
Cartesian
0.993 2.891 0.000
2.891 6.775 0.000
4.878 0.993 0.000
6.775 4.878 0.000
0.000 0.000 0.000
3.884 3.884 0.000
1.315 5.200 2.202
2.569 1.315 2.202
5.200 6.453 2.202
6.453 2.569 2.202

PBE ErNiSbRh, optimized geometry; magnetization = 0.0 Bohr magnetons per cell; ΔE_f (raw) = -0.61 eV per atom; D(E_F) = 3.3 states/eV/cell; V = 17.611 Å³ per atom
1.0
0.000 3.278 3.278
3.278 0.000 3.278
3.278 3.278 0.000
Er Ni Sb Rh
1 1 1 1
Cartesian
0.000 0.000 0.000
1.639 1.639 1.639
3.278 3.278 3.278
4.917 4.917 4.917

PBE Li2NdYSe4, optimized geometry; magnetization = 0.0 Bohr magnetons per cell; ΔE_f (raw) = -1.68 eV per atom; V = 24.208 Å³ per atom
1.0
6.943 0.000 0.000
0.000 4.141 0.000
-2.466 0.000 6.735
Li Nd Y Se
2 1 1 4
Cartesian
0.000 0.000 0.000
-1.233 2.071 3.368
2.238 0.000 3.368
3.472 2.071 0.000
1.086 2.071 1.618
-0.162 0.000 5.088
4.639 0.000 1.648
3.391 2.071 5.118

PBE YHf3W, optimized geometry; DFT formation energy = 2177 meV/atom; magnetization = 0.0 Bohr magnetons per cell; energy above the most stable polymorph in this dataset = 1527 meV/atom; D(E_F) = 8.6 states/eV/cell; V = 24.365 Å³ per atom
1.0
4.957 0.000 0.000
0.000 4.957 0.000
0.000 0.000 4.957
Y Hf W
1 3 1
Cartesian
0.000 0.000 0.000
0.000 0.000 2.479
0.000 2.479 0.000
2.479 0.000 0.000
2.479 2.479 2.479

PBE La2In2Pt, optimized geometry; DFT formation energy = -561 meV/atom; magnetization = 0.0 Bohr magnetons per cell; D(E_F) = 4.6 states/eV/cell; V = 27.084 Å³ per atom
1.0
7.331 0.000 0.000
0.000 7.331 0.000
0.000 0.000 5.039
La In Pt
4 4 2
Cartesian
1.163 2.503 0.000
2.503 6.168 0.000
4.828 1.163 0.000
6.168 4.828 0.000
1.074 4.739 2.520
2.592 1.074 2.520
4.739 6.258 2.520
6.258 2.592 2.520
0.000 0.000 2.520
3.666 3.666 2.520

PBE TbNd2Si, optimized geometry; magnetization = 0.0 Bohr magnetons per cell; energy above the most stable polymorph in this dataset = 0 meV/atom; ΔE_f (raw) = -0.25 eV per atom; D(E_F) = 4.0 states/eV/cell; V = 26.632 Å³ per atom
1.0
4.720 0.000 0.000
0.000 4.720 0.000
0.000 0.000 4.782
Tb Nd Si
1 2 1
Cartesian
0.000 0.000 0.000
0.000 2.360 2.391
2.360 0.000 2.391
2.360 2.360 0.000

PBE PC, optimized geometry; DFT formation energy = 1247 meV/atom; magnetization = 0.0 Bohr magnetons per cell; energy above the most stable polymorph in this dataset = 934 meV/atom; D(E_F) = 1.3 states/eV/cell; V = 9.034 Å³ per atom
1.0
0.000 2.083 2.083
2.083 0.000 2.083
2.083 2.083 0.000
P C
1 1
Cartesian
0.000 0.000 0.000
2.083 2.083 2.083

PBE Ta5Mo3, optimized geometry; DFT formation energy = -145 meV/atom; magnetization = 0.0 Bohr magnetons per cell; energy above the most stable polymorph in this dataset = 28 meV/atom; D(E_F) = 7.2 states/eV/cell; V = 17.219 Å³ per atom
1.0
4.922 -2.282 0.000
4.922 2.282 0.000
-2.148 0.000 6.133
Ta Mo
5 3
Cartesian
0.000 0.000 0.000
-1.045 0.000 3.000
0.675 0.000 5.372
1.778 0.000 2.288
3.478 0.000 4.619
4.510 0.000 1.539
7.163 0.000 0.753
6.108 0.000 3.806

PBE NaW2S, optimized geometry; magnetization = 0.0 Bohr magnetons per cell; ΔE_f (raw) = 0.83 eV per atom; D(E_F) = 4.8 states/eV/cell; V = 17.213 Å³ per atom
1.0
-1.881 1.881 9.732
1.881 -1.881 9.732
1.881 1.881 -9.732
Na W S
2 4 2
Cartesian
0.000 0.000 0.000
0.000 1.881 4.866
0.940 1.018 -2.433
2.743 0.940 2.433
0.940 0.863 7.299
-0.863 0.940 12.165
1.881 0.000 4.866
0.000 0.000 9.732

PBE CaNd3, optimized geometry; DFT formation energy = 75 meV/atom; magnetization = 0.0 Bohr magnetons per cell; energy above the most stable polymorph in this dataset = 29 meV/atom; D(E_F) = 6.4 states/eV/cell; V = 35.996 Å³ per atom
1.0
5.241 0.000 0.000
0.000 5.241 0.000
0.000 0.000 5.241
Ca Nd
1 3
Cartesian
0.000 0.000 0.000
0.000 2.621 2.621
2.621 0.000 2.621
2.621 2.621 0.000

PBE ScInHg4, optimized geometry; DFT formation energy = -105 meV/atom; magnetization = 0.2 Bohr magnetons per cell; energy above the most stable polymorph in this dataset = 0 meV/atom; D(E_F) = 3.7 states/eV/cell; V = 24.003 Å³ per atom
1.0
2.606 -2.565 0.000
2.606 2.565 0.000
-0.020 0.000 10.770
Sc In Hg
1 1 4
Cartesian
0.000 0.000 0.000
2.597 0.000 5.385
-0.006 0.000 3.461
5.199 0.000 7.309
2.603 0.000 1.639
2.590 0.000 9.131

PBE Ta2TcSe, optimized geometry; magnetization = 0.0 Bohr magnetons per cell; ΔE_f (raw) = 0.01 eV per atom; D(E_F) = 2.3 states/eV/cell; V = 17.728 Å³ per atom
1.0
1.616 0.933 7.843
-1.616 0.933 7.843
0.000 -1.865 7.843
Ta Tc Se
2 1 1
Cartesian
0.000 0.000 5.806
0.000 0.000 17.724
0.000 0.000 11.765
0.000 0.000 0.000

PBE SmY2Au, optimized geometry; DFT formation energy = -440 meV/atom; magnetization = 0.0 Bohr magnetons per cell; energy above the most stable polymorph in this dataset = 0 meV/atom; D(E_F) = 20.9 states/eV/cell; V = 29.273 Å³ per atom
1.0
7.021 0.000 0.000
0.000 9.962 0.000
0.000 0.000 6.696
Sm Y Au
4 8 4
Cartesian
0.040 2.490 0.850
3.471 7.471 4.198
3.551 2.490 2.498
6.981 7.471 5.846
1.304 0.537 4.574
1.304 4.444 4.574
2.207 5.518 1.226
2.207 9.425 1.226
4.815 0.537 5.470
4.815 4.444 5.470
5.717 5.518 2.122
5.717 9.425 2.122
0.732 7.471 2.956
2.779 2.490 6.304
4.242 7.471 0.392
6.290 2.490 3.740

PBE NdSmHoCd, optimized geometry; DFT formation energy = -150 meV/atom; magnetization = 0.0 Bohr magnetons per cell; energy above the most stable polymorph in this dataset = 0 meV/atom; D(E_F) = 4.1 states/eV/cell; V = 30.299 Å³ per atom
1.0
3.655 0.000 0.000
0.000 3.655 0.000
0.000 0.000 9.072
Nd Sm Ho Cd
1 1 1 1
Cartesian
0.000 0.000 0.000
1.828 1.828 6.517
1.828 1.828 2.485
0.000 0.000 4.421

PBE La2CrOs2, optimized geometry; DFT formation energy = 217 meV/atom; magnetization = 4.9 Bohr magnetons per cell; D(E_F) = 10.2 states/eV/cell; V = 22.373 Å³ per atom
1.0
6.890 0.000 0.000
0.000 6.890 0.000
0.000 0.000 4.714
La Cr Os
4 2 4
Cartesian
1.263 2.182 0.000
2.182 5.627 0.000
4.708 1.263 0.000
5.627 4.708 0.000
0.000 0.000 2.357
3.445 3.445 2.357
0.862 4.307 2.357
2.583 0.862 2.357
4.307 6.028 2.357
6.028 2.583 2.357

PBE Dy3HoBi2C, optimized geometry; DFT formation energy = -645 meV/atom; magnetization = 0.0 Bohr magnetons per cell; D(E_F) = 5.4 states/eV/cell; V = 26.851 Å³ per atom
1.0
-2.417 2.429 8.003
2.417 -2.429 8.003
2.417 2.429 -8.003
Dy Ho Bi C
3 1 2 1
Cartesian
0.000 0.000 0.000
2.417 0.000 5.559
0.000 2.429 2.444
0.000 0.000 8.003
2.417 0.000 2.311
0.000 2.429 5.691
0.000 2.429 0.000

PBE RbBa2W, optimized geometry; DFT formation energy = 1413 meV/atom; magnetization = 0.0 Bohr magnetons per cell; energy above the most stable polymorph in this dataset = 150 meV/atom; D(E_F) = 9.7 states/eV/cell; V = 67.190 Å³ per atom
1.0
-4.561 4.561 6.459
4.561 -4.561 6.459
4.561 4.561 -6.459
Rb Ba W
2 4 2
Cartesian
0.000 0.000 0.000
0.000 4.561 3.229
2.281 -0.071 4.844
4.490 2.281 1.615
2.281 4.632 -1.615
0.071 2.281 8.074
4.561 0.000 3.229
0.000 0.000 6.459

PBE LuVTcRh, optimized geometry; DFT formation energy = -329 meV/atom; magnetization = 0.0 Bohr magnetons per cell; D(E_F) = 2.0 states/eV/cell; V = 16.044 Å³ per atom
1.0
0.000 3.178 3.178
3.178 0.000 3.178
3.178 3.178 0.000
Lu V Tc Rh
1 1 1 1
Cartesian
0.000 0.000 0.000
3.178 3.178 3.178
4.767 4.767 4.767
1.589 1.589 1.589

PBE AcDy4Te5, optimized geometry; magnetization = 0.0 Bohr magnetons per cell; ΔE_f (raw) = -1.31 eV per atom; D(E_F) = 5.6 states/eV/cell; V = 30.689 Å³ per atom
1.0
7.377 -2.198 0.000
7.377 2.198 0.000
-5.448 0.000 9.462
Ac Dy Te
1 4 5
Cartesian
0.000 0.000 0.000
-1.264 0.000 7.491
2.687 0.000 5.753
6.618 0.000 3.709
10.569 0.000 1.972
-2.724 0.000 4.731
1.299 0.000 3.016
5.121 0.000 1.008
4.184 0.000 8.454
8.006 0.000 6.447

PBE Dy6HoIn6, optimized geometry; DFT formation energy = -310 meV/atom; magnetization = 0.1 Bohr magnetons per cell; D(E_F) = 16.3 states/eV/cell; V = 28.041 Å³ per atom
1.0
6.267 0.000 0.000
-3.133 5.427 0.000
0.000 0.000 10.719
Dy Ho In
6 1 6
Cartesian
0.000 0.000 1.750
0.000 0.000 8.969
0.000 3.618 0.000
0.000 3.618 5.359
3.133 1.809 0.000
3.133 1.809 5.359
0.000 0.000 5.359
-1.567 2.713 2.721
-1.567 2.713 7.998
3.133 0.000 2.721
3.133 0.000 7.998
1.567 2.713 2.721
1.567 2.713 7.998